The following is a DFT calculation (PBE-GGA) of Zn2ReHg after structural relaxation.

abc: 2.7581 4.1689 5.7289
angles: 90.00 90.00 90.00
With the nearest neighbours (Å) after each atom.
Fractional positions:
Zn 0.0000 0.0000 0.0000  4 Re 2.73, 6 Zn 2.76-2.93, 2 Hg 2.77-2.95
Zn 0.5000 0.5000 0.2666  1 Re 2.62, 6 Zn 2.76-2.93, 4 Hg 2.88
Re 0.5000 0.5000 0.8094  5 Zn 2.62-2.73, 2 Re 2.76
Hg 0.0000 0.0000 0.5158  2 Hg 2.76, 6 Zn 2.77-2.95, 4 Re 3.01

Summary:
theoretical density: 13.05 g cm⁻³
space group: Pmm2 (25)
volume: 65.9 Å³ per cell
DOS at the Fermi energy: 2.516 states/eV/cell
energy of formation: 11.07 kcal/mol of atoms